# Li5Mn2CoO8

Li5Mn2CoO8 after structural relaxation (PBE+U, Alexandria via LeMat-Bulk).

It has space group C2/m (No. 12), with a = 4.990 Å, b = 2.885 Å, c = 20.228 Å, α = 90.00°, β = 94.23° and γ = 90.00°. The inequivalent atoms are Li at (0.000, 0.000, 0.000), Li at (0.202, 0.000, 0.616), Li at (0.203, 0.500, 0.113), Mn at (0.092, 0.000, 0.263), Co at (0.000, 0.500, 0.500), O at (0.053, 0.500, 0.682), O at (0.145, 0.500, 0.933), O at (0.152, 0.000, 0.450) and O at (0.238, 0.500, 0.214).

The value obtained for the total energy is -184.24 eV per cell. For the energy above the most stable polymorph in this dataset, the calculation gives 0.266 eV/atom.